[1]
Compound: Sm6Y3Ho2Tm
Source: Alexandria
Functional: PBE-GGA
Structure: relaxed

Cell lengths 6.219, 6.219, 11.810 Å; angles 95.02, 95.02, 119.98 degrees
Sites, in units of the cell vectors:
Sm 0.084 0.417 0.752
Sm 0.250 0.250 0.248
Sm 0.417 0.084 0.752
Sm 0.583 0.916 0.248
Sm 0.750 0.750 0.752
Sm 0.916 0.583 0.248
Y 0.000 0.000 0.500
Y 0.333 0.667 0.500
Y 0.667 0.333 0.500
Ho 0.167 0.833 0.000
Ho 0.833 0.167 0.000
Tm 0.500 0.500 0.000

Values from the calculation:
Its space group is C2/m (12). Its energy is -5.10 eV per atom. As for the crystal system: monoclinic. The density of states at the Fermi level is 14.6 states/eV/cell. The value obtained for the calculated volume is 32.46 Å³/atom.


[2]
Compound: Sm5YHo2Tm
Source: Alexandria
Functional: PBE-GGA
Structure: relaxed

Cell lengths 10.488, 10.488, 10.598 Å; angles 90.00, 90.00, 148.88 degrees
Sites, in units of the cell vectors:
Sm 0.016 0.984 0.500
Sm 0.279 0.721 0.795
Sm 0.299 0.701 0.190
Sm 0.385 0.615 0.504
Sm 0.482 0.518 0.224
Sm 0.518 0.482 0.724
Sm 0.615 0.385 0.004
Sm 0.701 0.299 0.690
Sm 0.721 0.279 0.295
Sm 0.984 0.016 0.000
Y 0.409 0.591 0.941
Y 0.591 0.409 0.441
Ho 0.113 0.887 0.219
Ho 0.114 0.886 0.794
Ho 0.886 0.114 0.294
Ho 0.887 0.113 0.719
Tm 0.199 0.801 0.494
Tm 0.801 0.199 0.994

Values from the calculation:
Its space group is Cmc2_1 (36). Its energy is -4.70 eV per atom. As for the crystal system: orthorhombic. The density of states at the Fermi level is 29.4 states/eV/cell. The value obtained for the calculated volume is 33.47 Å³/atom.


[3]
Compound: SmHoTmZn
Source: Alexandria
Functional: PBE-GGA
Structure: relaxed

Cell lengths 3.550, 3.550, 8.649 Å; angles 90.00, 90.00, 90.00 degrees
Sites, in units of the cell vectors:
Sm 0.000 0.000 0.000
Ho 0.500 0.500 0.702
Tm 0.500 0.500 0.296
Zn 0.000 0.000 0.495

Values from the calculation:
Its space group is P4mm (99). Its energy is -3.93 eV per atom. As for the crystal system: tetragonal. The density of states at the Fermi level is 4.4 states/eV/cell. The value obtained for the calculated volume is 27.26 Å³/atom.


[4]
Compound: SmHoTmZn
Source: Alexandria
Functional: PBE-GGA
Structure: relaxed

Cell lengths 5.333, 5.333, 5.333 Å; angles 60.00, 60.00, 60.00 degrees
Sites, in units of the cell vectors:
Sm 0.000 0.000 0.000
Ho 0.500 0.500 0.500
Tm 0.250 0.250 0.250
Zn 0.750 0.750 0.750

Values from the calculation:
Its space group is F-43m (216). Its energy is -3.73 eV per atom. As for the crystal system: cubic. The density of states at the Fermi level is 4.6 states/eV/cell. The value obtained for the calculated volume is 26.82 Å³/atom.


[5]
Compound: Sm3Ho6Tm2Zr
Source: Alexandria
Functional: PBE-GGA
Structure: relaxed

Cell lengths 6.083, 6.083, 11.618 Å; angles 94.99, 94.99, 119.92 degrees
Sites, in units of the cell vectors:
Sm 0.000 0.000 0.000
Sm 0.334 0.666 0.000
Sm 0.666 0.334 0.000
Ho 0.092 0.419 0.258
Ho 0.254 0.254 0.741
Ho 0.419 0.092 0.258
Ho 0.581 0.908 0.742
Ho 0.746 0.746 0.259
Ho 0.908 0.581 0.742
Tm 0.167 0.833 0.500
Tm 0.833 0.167 0.500
Zr 0.500 0.500 0.500

Values from the calculation:
Its space group is C2/m (12). Its energy is -4.88 eV per atom. As for the crystal system: monoclinic. The density of states at the Fermi level is 14.9 states/eV/cell. The value obtained for the calculated volume is 30.58 Å³/atom.


[6]
Compound: SmHoTmZr
Source: Alexandria
Functional: PBE-GGA
Structure: relaxed

Cell lengths 5.484, 5.484, 5.484 Å; angles 60.00, 60.00, 60.00 degrees
Sites, in units of the cell vectors:
Sm 0.000 0.000 0.000
Ho 0.750 0.750 0.750
Tm 0.250 0.250 0.250
Zr 0.500 0.500 0.500

Values from the calculation:
Its space group is F-43m (216). Its energy is -5.36 eV per atom. As for the crystal system: cubic. The density of states at the Fermi level is 7.6 states/eV/cell. The value obtained for the calculated volume is 29.16 Å³/atom.


[7]
Compound: SmHoW4
Source: Alexandria
Functional: PBE-GGA
Structure: relaxed

Cell lengths 5.563, 5.563, 5.563 Å; angles 60.00, 60.00, 60.00 degrees
Sites, in units of the cell vectors:
Sm 0.000 0.000 0.000
Ho 0.750 0.750 0.750
W 0.375 0.375 0.375
W 0.375 0.375 0.875
W 0.375 0.875 0.375
W 0.875 0.375 0.375

Values from the calculation:
Its space group is F-43m (216). Its energy is -9.98 eV per atom. As for the crystal system: cubic. The density of states at the Fermi level is 10.7 states/eV/cell. The value obtained for the calculated volume is 20.28 Å³/atom.


[8]
Compound: SmYHo4
Source: Alexandria
Functional: PBE-GGA
Structure: relaxed

Cell lengths 5.004, 6.152, 7.106 Å; angles 106.83, 90.00, 113.91 degrees
Sites, in units of the cell vectors:
Sm 0.000 0.000 0.000
Y 0.000 0.000 0.500
Ho 0.333 0.665 0.666
Ho 0.333 0.666 0.166
Ho 0.667 0.334 0.834
Ho 0.667 0.335 0.334

Values from the calculation:
Its space group is P-1 (2). Its energy is -4.89 eV per atom. As for the crystal system: triclinic. The density of states at the Fermi level is 8.1 states/eV/cell. The value obtained for the calculated volume is 31.61 Å³/atom.


[9]
Compound: SmY2Ho
Source: Alexandria
Functional: PBE-GGA
Structure: relaxed

Cell lengths 3.652, 6.305, 6.759 Å; angles 117.79, 105.67, 90.02 degrees
Sites, in units of the cell vectors:
Sm 0.000 0.000 0.000
Y 0.502 0.503 0.005
Y 0.753 0.087 0.503
Ho 0.252 0.585 0.502

Values from the calculation:
Its space group is P1 (1). Its energy is -5.55 eV per atom. As for the crystal system: triclinic. The density of states at the Fermi level is 7.2 states/eV/cell. The value obtained for the calculated volume is 32.78 Å³/atom.


[10]
Compound: Sm6YHo6
Source: Alexandria
Functional: PBE-GGA
Structure: relaxed

Cell lengths 6.709, 6.709, 11.369 Å; angles 90.00, 90.00, 120.00 degrees
Sites, in units of the cell vectors:
Sm 0.000 0.000 0.156
Sm 0.000 0.000 0.844
Sm 0.333 0.667 0.000
Sm 0.333 0.667 0.500
Sm 0.667 0.333 0.000
Sm 0.667 0.333 0.500
Y 0.000 0.000 0.500
Ho 0.000 0.500 0.255
Ho 0.000 0.500 0.745
Ho 0.500 0.000 0.255
Ho 0.500 0.000 0.745
Ho 0.500 0.500 0.255
Ho 0.500 0.500 0.745

Values from the calculation:
Its space group is P6/mmm (191). Its energy is -4.52 eV per atom. As for the crystal system: hexagonal. The density of states at the Fermi level is 26.3 states/eV/cell. The value obtained for the calculated volume is 34.09 Å³/atom.


[11]
Compound: Sm7Y16Ho6
Source: Alexandria
Functional: PBE-GGA
Structure: relaxed

Cell lengths 11.074, 11.074, 11.074 Å; angles 60.00, 60.00, 60.00 degrees
Sites, in units of the cell vectors:
Sm 0.000 0.000 0.000
Sm 0.000 0.000 0.500
Sm 0.000 0.500 0.000
Sm 0.000 0.500 0.500
Sm 0.500 0.000 0.000
Sm 0.500 0.000 0.500
Sm 0.500 0.500 0.000
Y 0.149 0.149 0.149
Y 0.149 0.149 0.552
Y 0.149 0.552 0.149
Y 0.160 0.613 0.613
Y 0.387 0.387 0.387
Y 0.387 0.387 0.840
Y 0.387 0.840 0.387
Y 0.448 0.851 0.851
Y 0.552 0.149 0.149
Y 0.613 0.160 0.613
Y 0.613 0.613 0.160
Y 0.613 0.613 0.613
Y 0.840 0.387 0.387
Y 0.851 0.448 0.851
Y 0.851 0.851 0.448
Y 0.851 0.851 0.851
Ho 0.223 0.223 0.777
Ho 0.223 0.777 0.223
Ho 0.223 0.777 0.777
Ho 0.777 0.223 0.223
Ho 0.777 0.223 0.777
Ho 0.777 0.777 0.223

Values from the calculation:
Its space group is Fm-3m (225). Its energy is -5.47 eV per atom. As for the crystal system: cubic. The density of states at the Fermi level is 54.3 states/eV/cell. The value obtained for the calculated volume is 33.12 Å³/atom.


[12]
Compound: Sm6YHo5
Source: Alexandria
Functional: PBE-GGA
Structure: relaxed

Cell lengths 9.474, 9.474, 9.474 Å; angles 148.96, 115.65, 73.17 degrees
Sites, in units of the cell vectors:
Sm 0.083 0.333 0.749
Sm 0.249 0.000 0.249
Sm 0.416 0.667 0.749
Sm 0.584 0.333 0.251
Sm 0.751 0.000 0.751
Sm 0.917 0.667 0.251
Y 0.500 0.500 0.000
Ho 0.000 0.500 0.500
Ho 0.167 0.167 0.000
Ho 0.333 0.833 0.500
Ho 0.667 0.167 0.500
Ho 0.833 0.833 0.000

Values from the calculation:
Its space group is Immm (71). Its energy is -4.79 eV per atom. As for the crystal system: orthorhombic. The density of states at the Fermi level is 15.6 states/eV/cell. The value obtained for the calculated volume is 32.43 Å³/atom.